1.
## MnCo3N4 (PBE)

Data for an optimized crystal structure of MnCo3N4.

crystal system = tetragonal
ΔE_f (raw) = -41 meV/atom
raw total energy = -8.0145 eV per atom
DOS at the Fermi energy = 5.94 states/eV per cell

Cell and atoms, written as extended XYZ:
```
8
Lattice="-2.127 2.127 4.258 2.127 -2.127 4.258 2.127 2.127 -4.258" Properties=species:S:1:pos:R:3 pbc="T T T"
Mn 0.000 0.000 0.000
Co 2.127 0.000 2.129
Co 0.000 0.000 4.258
Co 0.000 2.127 2.129
N 1.043 1.043 -1.042
N 1.084 -1.084 5.300
N 1.084 1.084 3.216
N -1.084 1.084 5.300
```


2.
## MnCo2N2 (PBE)

Data for an optimized crystal structure of MnCo2N2.

crystal system = orthorhombic
energy above the most stable polymorph in this dataset = 0.102 eV/atom
ΔE_f (raw) = 196 meV/atom
raw total energy = -7.8102 eV per atom
DOS at the Fermi energy = 8.83 states/eV per cell

Cell and atoms, written as extended XYZ:
```
10
Lattice="2.809 0.000 0.000 0.000 11.535 0.000 0.000 0.000 2.810" Properties=species:S:1:pos:R:3 pbc="T T T"
Mn 0.702 2.884 0.682
Mn 2.107 8.651 2.128
Co 0.702 6.794 0.715
Co 0.702 10.509 0.715
Co 2.107 1.027 2.095
Co 2.107 4.741 2.095
N 0.702 1.024 0.701
N 0.702 4.743 0.701
N 2.107 6.792 2.109
N 2.107 10.511 2.109
```


3.
## MnCo2N2 (PBE)

Data for an optimized crystal structure of MnCo2N2.

crystal system = tetragonal
energy above the most stable polymorph in this dataset = 0.361 eV/atom
ΔE_f (raw) = 455 meV/atom
raw total energy = -7.5513 eV per atom
DOS at the Fermi energy = 14.91 states/eV per cell

Cell and atoms, written as extended XYZ:
```
10
Lattice="5.545 0.000 0.000 0.000 5.545 0.000 0.000 0.000 2.824" Properties=species:S:1:pos:R:3 pbc="T T T"
Mn 0.000 0.000 0.000
Mn 2.773 2.773 0.000
Co 0.886 1.887 1.412
Co 1.887 4.660 1.412
Co 3.658 0.886 1.412
Co 4.660 3.658 1.412
N 1.016 3.789 0.000
N 1.756 1.016 0.000
N 3.789 4.529 0.000
N 4.529 1.756 0.000
```


4.
## MnCo2N2 (PBE)

Data for an optimized crystal structure of MnCo2N2.

crystal system = trigonal
energy above the most stable polymorph in this dataset = 0.000 eV/atom
ΔE_f (raw) = 94 meV/atom
raw total energy = -7.9126 eV per atom
DOS at the Fermi energy = 3.36 states/eV per cell

Cell and atoms, written as extended XYZ:
```
5
Lattice="2.880 0.000 0.000 -1.440 2.494 0.000 0.000 0.000 6.426" Properties=species:S:1:pos:R:3 pbc="T T T"
Mn 0.000 0.000 0.000
Co 0.000 1.663 2.155
Co 1.440 0.831 4.271
N 0.000 1.663 5.167
N 1.440 0.831 1.259
```


5.
## Mn4CoN (PBE)

Data for an optimized crystal structure of Mn4CoN.

crystal system = monoclinic
ΔE_f (raw) = 109 meV/atom
raw total energy = -8.5758 eV per atom
DOS at the Fermi energy = 14.93 states/eV per cell

Cell and atoms, written as extended XYZ:
```
12
Lattice="4.780 0.000 0.000 0.000 4.738 0.000 -0.037 0.000 5.927" Properties=species:S:1:pos:R:3 pbc="T T T"
Mn 0.687 1.176 1.443
Mn 0.687 3.562 1.443
Mn 1.617 0.000 3.750
Mn 1.616 2.369 5.097
Mn 3.126 2.369 0.830
Mn 3.125 0.000 2.178
Mn 4.056 1.176 4.485
Mn 4.056 3.562 4.485
Co 2.390 0.000 0.000
Co 2.371 2.369 2.964
N -0.019 0.000 2.964
N 0.000 2.369 0.000
```


6.
## Mn3Co2N (PBE)

Data for an optimized crystal structure of Mn3Co2N.

crystal system = cubic
ΔE_f (raw) = -102 meV/atom
raw total energy = -8.4428 eV per atom
DOS at the Fermi energy = 26.61 states/eV per cell

Cell and atoms, written as extended XYZ:
```
24
Lattice="6.360 0.000 0.000 0.000 6.360 0.000 0.000 0.000 6.360" Properties=species:S:1:pos:R:3 pbc="T T T"
Mn 0.277 0.795 5.047
Mn 0.795 5.047 0.277
Mn 1.314 3.457 2.385
Mn 1.867 2.904 5.565
Mn 2.385 1.314 3.457
Mn 2.904 5.565 1.867
Mn 3.457 2.385 1.314
Mn 3.975 4.494 6.084
Mn 4.494 6.084 3.975
Mn 5.047 0.277 0.795
Mn 5.565 1.867 2.904
Mn 6.084 3.975 4.494
Co 0.459 5.902 2.721
Co 1.131 1.131 1.131
Co 2.049 5.229 4.312
Co 2.721 0.459 5.902
Co 3.639 3.639 3.639
Co 4.312 2.049 5.229
Co 5.229 4.312 2.049
Co 5.902 2.721 0.459
N 0.795 2.385 3.975
N 2.385 3.975 0.795
N 3.975 0.795 2.385
N 5.565 5.565 5.565
```


7.
## MnCoN (PBE)

Data for an optimized crystal structure of MnCoN.

crystal system = tetragonal
energy above the most stable polymorph in this dataset = 0.700 eV/atom
ΔE_f (raw) = 715 meV/atom
raw total energy = -7.4855 eV per atom
DOS at the Fermi energy = 2.74 states/eV per cell

Cell and atoms, written as extended XYZ:
```
3
Lattice="-1.613 1.613 2.975 1.613 -1.613 2.975 1.613 1.613 -2.975" Properties=species:S:1:pos:R:3 pbc="T T T"
Mn 0.000 0.000 0.000
Co 0.000 0.000 2.279
N 0.000 0.000 4.104
```


8.
## MnCoN (PBE)

Data for an optimized crystal structure of MnCoN.

crystal system = trigonal
energy above the most stable polymorph in this dataset = 0.000 eV/atom
ΔE_f (raw) = 15 meV/atom
raw total energy = -8.1853 eV per atom
DOS at the Fermi energy = 2.46 states/eV per cell

Cell and atoms, written as extended XYZ:
```
3
Lattice="2.872 0.000 0.000 -1.436 2.487 0.000 0.000 0.000 4.126" Properties=species:S:1:pos:R:3 pbc="T T T"
Mn 0.000 0.000 0.000
Co 0.000 1.658 2.013
N 1.436 0.829 1.001
```


9.
## Mn3CoN3 (PBE)

Data for an optimized crystal structure of Mn3CoN3.

crystal system = orthorhombic
ΔE_f (raw) = -154 meV/atom
raw total energy = -8.6670 eV per atom
DOS at the Fermi energy = 8.14 states/eV per cell

Cell and atoms, written as extended XYZ:
```
14
Lattice="3.620 -5.108 0.000 3.620 5.108 0.000 0.000 0.000 3.872" Properties=species:S:1:pos:R:3 pbc="T T T"
Mn 1.615 0.971 2.904
Mn 3.620 3.269 2.904
Mn 1.615 -0.971 0.968
Mn 5.625 0.971 2.904
Mn 3.620 -3.269 0.968
Mn 5.625 -0.971 0.968
Co 3.620 1.119 0.968
Co 3.620 -1.119 2.904
N 1.778 0.970 0.968
N 3.620 3.007 0.968
N 1.778 -0.970 2.904
N 5.461 0.970 0.968
N 3.620 -3.007 2.904
N 5.461 -0.970 2.904
```


10.
## MnCo2N2 (PBE)

Data for an optimized crystal structure of MnCo2N2.

crystal system = tetragonal
energy above the most stable polymorph in this dataset = 0.764 eV/atom
ΔE_f (raw) = 858 meV/atom
raw total energy = -7.1484 eV per atom
DOS at the Fermi energy = 5.01 states/eV per cell

Cell and atoms, written as extended XYZ:
```
5
Lattice="-1.656 1.656 4.385 1.656 -1.656 4.385 1.656 1.656 -4.385" Properties=species:S:1:pos:R:3 pbc="T T T"
Mn 0.000 0.000 0.000
Co 1.656 0.000 2.193
Co 0.000 1.656 2.193
N 0.000 0.000 3.165
N 0.000 0.000 5.606
```


11.
## MnCoN (PBE)

Data for an optimized crystal structure of MnCoN.

crystal system = tetragonal
energy above the most stable polymorph in this dataset = 0.004 eV/atom
ΔE_f (raw) = 19 meV/atom
raw total energy = -8.1815 eV per atom
DOS at the Fermi energy = 2.49 states/eV per cell

Cell and atoms, written as extended XYZ:
```
3
Lattice="2.800 0.000 0.000 0.000 2.800 0.000 0.000 0.000 3.763" Properties=species:S:1:pos:R:3 pbc="T T T"
Mn 0.000 0.000 0.000
Co 1.400 1.400 1.882
N 0.000 0.000 1.882
```


12.
## Mn3CoN (PBE)

Data for an optimized crystal structure of Mn3CoN.

crystal system = tetragonal
ΔE_f (raw) = -2 meV/atom
raw total energy = -8.5904 eV per atom
DOS at the Fermi energy = 6.28 states/eV per cell

Cell and atoms, written as extended XYZ:
```
5
Lattice="2.748 0.000 0.000 0.000 2.748 0.000 0.000 0.000 6.694" Properties=species:S:1:pos:R:3 pbc="T T T"
Mn 0.000 0.000 0.000
Mn 1.374 1.374 1.852
Mn 1.374 1.374 4.842
Co 0.000 0.000 3.347
N 1.374 1.374 0.000
```


13.
## Mn5CoN (PBE)

Data for an optimized crystal structure of Mn5CoN.

crystal system = tetragonal
ΔE_f (raw) = 48 meV/atom
raw total energy = -8.7057 eV per atom
DOS at the Fermi energy = 5.45 states/eV per cell

Cell and atoms, written as extended XYZ:
```
7
Lattice="3.492 0.000 0.000 0.000 3.492 0.000 0.000 0.000 5.955" Properties=species:S:1:pos:R:3 pbc="T T T"
Mn 0.000 0.000 0.000
Mn 0.000 1.746 1.782
Mn 0.000 1.746 4.173
Mn 1.746 0.000 1.782
Mn 1.746 0.000 4.173
Co 1.746 1.746 0.000
N 1.746 1.746 2.977
```


14.
## MnCoN3 (PBE)

Data for an optimized crystal structure of MnCoN3.

crystal system = cubic
ΔE_f (raw) = 1221 meV/atom
raw total energy = -7.0293 eV per atom
DOS at the Fermi energy = 3.83 states/eV per cell

Cell and atoms, written as extended XYZ:
```
5
Lattice="3.629 0.000 0.000 0.000 3.629 0.000 0.000 0.000 3.629" Properties=species:S:1:pos:R:3 pbc="T T T"
Mn 0.000 0.000 0.000
Co 1.815 1.815 1.815
N 0.000 0.000 1.815
N 0.000 1.815 0.000
N 1.815 0.000 0.000
```


15.
## MnCoN3 (PBE)

Data for an optimized crystal structure of MnCoN3.

crystal system = cubic
ΔE_f (raw) = 1574 meV/atom
raw total energy = -6.6759 eV per atom
DOS at the Fermi energy = 4.92 states/eV per cell

Cell and atoms, written as extended XYZ:
```
5
Lattice="3.566 0.000 0.000 0.000 3.566 0.000 0.000 0.000 3.566" Properties=species:S:1:pos:R:3 pbc="T T T"
Mn 0.000 0.000 0.000
Co 1.783 1.783 1.783
N 0.000 1.783 1.783
N 1.783 0.000 1.783
N 1.783 1.783 0.000
```


16.
## MnCoNi2N (PBE)

Data for an optimized crystal structure of MnCoNi2N.

crystal system = tetragonal
energy above the most stable polymorph in this dataset = 0.000 eV/atom
ΔE_f (raw) = -32 meV/atom
raw total energy = -7.2648 eV per atom
DOS at the Fermi energy = 2.36 states/eV per cell

Cell and atoms, written as extended XYZ:
```
5
Lattice="3.797 0.000 0.000 0.000 3.797 0.000 0.000 0.000 3.734" Properties=species:S:1:pos:R:3 pbc="T T T"
Mn 0.000 0.000 0.000
Co 1.899 1.899 0.000
Ni 0.000 1.899 1.867
Ni 1.899 0.000 1.867
N 1.899 1.899 1.867
```


17.
## MnCoNi2N (PBE)

Data for an optimized crystal structure of MnCoNi2N.

crystal system = tetragonal
energy above the most stable polymorph in this dataset = 0.062 eV/atom
ΔE_f (raw) = 30 meV/atom
raw total energy = -7.2025 eV per atom
DOS at the Fermi energy = 7.43 states/eV per cell

Cell and atoms, written as extended XYZ:
```
5
Lattice="3.745 0.000 0.000 0.000 3.745 0.000 0.000 0.000 3.804" Properties=species:S:1:pos:R:3 pbc="T T T"
Mn 0.000 0.000 0.000
Co 1.872 1.872 0.000
Ni 0.000 1.872 1.902
Ni 1.872 0.000 1.902
N 0.000 0.000 1.902
```


18.
## Pa2MnCoN5 (PBE)

Data for an optimized crystal structure of Pa2MnCoN5.

crystal system = orthorhombic
ΔE_f (raw) = -883 meV/atom
raw total energy = -9.4272 eV per atom
DOS at the Fermi energy = 6.34 states/eV per cell

Cell and atoms, written as extended XYZ:
```
18
Lattice="1.677 -6.680 0.000 1.677 6.680 0.000 0.000 0.000 8.821" Properties=species:S:1:pos:R:3 pbc="T T T"
Pa 1.677 5.119 4.410
Pa 1.677 4.950 7.914
Pa 1.677 -4.950 3.503
Pa 1.677 -5.119 0.000
Mn 1.677 3.857 1.784
Mn 1.677 -3.857 6.195
Co 1.677 1.070 6.004
Co 1.677 -1.070 1.593
N 1.677 6.288 2.146
N 1.677 2.701 5.001
N 1.677 2.580 7.432
N 1.677 1.977 1.788
N 1.677 0.142 4.297
N 1.677 -0.142 8.707
N 1.677 -1.977 6.199
N 1.677 -2.580 3.022
N 1.677 -2.701 0.590
N 1.677 -6.288 6.556
```


19.
## MnCo2PdN (PBE)

Data for an optimized crystal structure of MnCo2PdN.

crystal system = tetragonal
ΔE_f (raw) = 16 meV/atom
raw total energy = -7.3636 eV per atom
DOS at the Fermi energy = 7.09 states/eV per cell

Cell and atoms, written as extended XYZ:
```
5
Lattice="3.823 0.000 0.000 0.000 3.823 0.000 0.000 0.000 3.745" Properties=species:S:1:pos:R:3 pbc="T T T"
Mn 0.000 0.000 0.000
Co 0.000 1.911 1.872
Co 1.911 0.000 1.872
Pd 1.911 1.911 0.000
N 0.000 0.000 1.872
```


20.
## PmMnCoN3 (PBE)

Data for an optimized crystal structure of PmMnCoN3.

crystal system = monoclinic
ΔE_f (raw) = -487 meV/atom
raw total energy = -8.1541 eV per atom
DOS at the Fermi energy = 5.46 states/eV per cell

Cell and atoms, written as extended XYZ:
```
12
Lattice="6.160 0.000 0.000 0.000 3.051 0.000 -2.250 0.000 7.217" Properties=species:S:1:pos:R:3 pbc="T T T"
Pm 0.684 0.763 1.691
Pm 3.226 2.288 5.526
Mn 0.135 2.288 6.546
Mn 3.775 0.763 0.671
Co -0.406 0.763 4.569
Co 4.316 2.288 2.647
N -1.146 0.763 6.345
N -0.046 2.288 3.476
N 2.573 2.288 1.223
N 1.337 0.763 5.993
N 3.956 0.763 3.741
N 5.056 2.288 0.872
```